No. 1
Zr2ScRe | Alexandria | PBE | relaxed; calculated density = 8.275 Mg/m³; formation enthalpy at 0 K = -0.0649 eV per atom; raw total energy = -9.0339 eV per atom; N(E_F) = 6.00 states/eV/cell; total magnetic moment = 0.0001 μB per atom
1.0
3.3587 0.0000 0.0000
0.0000 3.3587 0.0000
0.0000 0.0000 7.3578
Zr Sc Re
2 1 1
direct
0.0000 0.0000 0.2144 Zr
0.0000 0.0000 0.7856 Zr
0.5000 0.5000 0.5000 Sc
0.5000 0.5000 0.0000 Re

=====

No. 2
LiErTe2 | Alexandria | PBE | relaxed; raw formation energy = -1198 meV per atom; calculated density = 6.328 Mg/m³; raw total energy = -4.3882 eV per atom; total magnetic moment = 0.0000 μB per atom
1.0
4.1935 0.0000 0.0000
-2.0967 3.6317 0.0000
0.0000 0.0000 14.7969
Li Er Te
2 2 4
direct
0.0000 0.0000 0.0000 Li
0.0000 0.0000 0.5000 Li
0.0000 0.0000 0.2500 Er
0.0000 0.0000 0.7500 Er
0.3333 0.6667 0.1205 Te
0.3333 0.6667 0.3795 Te
0.6667 0.3333 0.6205 Te
0.6667 0.3333 0.8795 Te

=====

No. 3
Be5Rh3 | Alexandria | PBE | relaxed; calculated density = 7.064 Mg/m³; formation enthalpy at 0 K = -0.5601 eV per atom; raw total energy = -5.6457 eV per atom; N(E_F) = 2.31 states/eV/cell; total magnetic moment = 0.0000 μB per atom
1.0
5.8286 0.0000 0.0000
-2.9143 5.0477 0.0000
0.0000 0.0000 2.8266
Be Rh
5 3
direct
0.0000 0.7567 0.0000 Be
0.2433 0.2433 0.0000 Be
0.3333 0.6667 0.0000 Be
0.6667 0.3333 0.0000 Be
0.7567 0.0000 0.0000 Be
0.0000 0.3925 0.5000 Rh
0.3925 0.0000 0.5000 Rh
0.6075 0.6075 0.5000 Rh

=====

No. 4
Ac2InRh3 | Alexandria | PBE | relaxed; calculated density = 9.648 Mg/m³; formation enthalpy at 0 K = -0.4660 eV per atom; raw total energy = -5.9676 eV per atom; N(E_F) = 13.15 states/eV/cell; total magnetic moment = 0.0000 μB per atom
1.0
4.2524 -4.5012 0.0000
4.2524 4.5012 0.0000
-4.2445 0.0000 7.8908
Ac In Rh
4 2 6
direct
0.2452 0.2452 0.5009 Ac
0.2504 0.7496 0.0000 Ac
0.7496 0.2504 0.0000 Ac
0.7548 0.7548 0.4991 Ac
0.3345 0.3345 0.1712 In
0.6655 0.6655 0.8288 In
0.1646 0.6716 0.3347 Rh
0.1674 0.1674 0.8371 Rh
0.3284 0.8354 0.6653 Rh
0.6716 0.1646 0.3347 Rh
0.8326 0.8326 0.1629 Rh
0.8354 0.3284 0.6653 Rh

=====

Q: What is the total magnetic moment in the third record?
A: 0.0000 μB per atom

=====

Q: calculated density of number 4 (Ac2InRh3)?
A: 9.648 Mg/m³

=====

Q: Look up the raw total energy of the first one.
A: -9.0339 eV per atom